5
Lattice="4.707 0.000 0.000 0.000 4.897 0.000 0.000 0.000 4.707" Properties=species:S:1:pos:R:3 comment="CuSi2MoW | the Alexandria database | PBE-GGA | optimized geometry" raw_formation_energy_mev_per_atom=1341 volume_a3_per_cell=108 magnetic_moment_mub_per_fu=1.58 pbc="T T T"
W 0.000 0.000 0.000
Si 0.000 0.000 2.353
Si 2.353 0.000 0.000
Mo 0.000 2.449 0.000
Cu 2.353 2.449 2.353